Entry from Alexandria: NdTh2Nb after structural relaxation (GGA-PBE).

a = 3.6647 Å, b = 3.6647 Å, c = 8.6154 Å
α = 90.00°, β = 90.00°, γ = 90.00°
With the nearest neighbours (Å) after each atom.
Fractional positions:
Nb  0.5000  0.5000  0.0000  8 Th 3.17
Nd  0.5000  0.5000  0.5000  8 Th 3.59, 4 Nd 3.66
Th  0.0000  0.0000  0.7876  4 Nb 3.17
Th  0.0000  0.0000  0.2124  4 Nb 3.17

## Properties
* polymorph energy (0 for the lowest one): 0.0 kJ/mol of formula units
* crystal system: tetragonal